# Ba2InSbPt6

A relaxed structure of Ba2InSbPt6 (PBE, Alexandria).

The uncorrected formation energy comes out at -0.580 eV/atom.

Cell lengths 6.9457, 6.9457, 7.6290 Å; angles 122.12, 122.12, 59.35 degrees
Last column: nearest neighbours and their distance in Å.
Sites, in units of the cell vectors:
Ba (0.2161, 0.2161, 0.2904)  5 Pt 3.24-3.56
Ba (0.7839, 0.7839, 0.7096)  5 Pt 3.24-3.56
In (0.5000, 0.5000, 0.0000)  6 Pt 2.69-2.72
Sb (0.0000, 0.0000, 0.5000)  6 Pt 2.60-2.61
Pt (0.2425, 0.2425, 0.8927)  1 Sb 2.61, 1 In 2.69, 4 Pt 2.73-2.83
Pt (0.2585, 0.6512, 0.2610)  1 Sb 2.60, 3 Pt 2.70-2.83, 1 In 2.72
Pt (0.3488, 0.7415, 0.7390)  1 Sb 2.60, 3 Pt 2.70-2.83, 1 In 2.72
Pt (0.6512, 0.2585, 0.2610)  1 Sb 2.60, 3 Pt 2.70-2.83, 1 In 2.72
Pt (0.7415, 0.3488, 0.7390)  1 Sb 2.60, 3 Pt 2.70-2.83, 1 In 2.72
Pt (0.7575, 0.7575, 0.1073)  1 Sb 2.61, 1 In 2.69, 4 Pt 2.73-2.83

# BaInSbPt3

A relaxed structure of BaInSbPt3 (PBE, Alexandria).

The uncorrected formation energy comes out at -0.537 eV/atom.

Cell lengths 8.8485, 8.8485, 5.9968 Å; angles 90.00, 90.00, 136.68 degrees
Last column: nearest neighbours and their distance in Å.
Sites, in units of the cell vectors:
Ba (0.2282, 0.7718, 0.7500)  4 Pt 3.08-3.27
Ba (0.7718, 0.2282, 0.2500)  4 Pt 3.08-3.27
In (0.1093, 0.8907, 0.2500)  5 Pt 2.65-2.74
In (0.8907, 0.1093, 0.7500)  5 Pt 2.65-2.74
Sb (0.4278, 0.5722, 0.2500)  5 Pt 2.59-2.65
Sb (0.5722, 0.4278, 0.7500)  5 Pt 2.59-2.65
Pt (0.2184, 0.2184, 0.0000)  2 Sb 2.65, 2 In 2.74, 1 Pt 2.85
Pt (0.2184, 0.2184, 0.5000)  2 Sb 2.65, 2 In 2.74, 1 Pt 2.85
Pt (0.2703, 0.7297, 0.2500)  1 Sb 2.59, 1 In 2.65
Pt (0.7297, 0.2703, 0.7500)  1 Sb 2.59, 1 In 2.65
Pt (0.7816, 0.7816, 0.0000)  2 Sb 2.65, 2 In 2.74, 1 Pt 2.85
Pt (0.7816, 0.7816, 0.5000)  2 Sb 2.65, 2 In 2.74, 1 Pt 2.85

# Ba2InSiPt6

A relaxed structure of Ba2InSiPt6 (PBE, Alexandria).

The uncorrected formation energy comes out at -0.692 eV/atom.

Cell lengths 5.7445, 6.7446, 7.2259 Å; angles 73.76, 66.68, 64.96 degrees
Last column: nearest neighbours and their distance in Å.
Sites, in units of the cell vectors:
Ba (0.2406, 0.2054, 0.3135)  11 Pt 3.27-3.64
Ba (0.7594, 0.7946, 0.6865)  11 Pt 3.27-3.64
In (0.5000, 0.5000, 0.5000)  6 Pt 2.73-2.75
Si (0.0000, 0.0000, 0.0000)  6 Pt 2.40-2.53
Pt (0.2257, 0.2564, 0.8050)  1 Si 2.40
Pt (0.2463, 0.6233, 0.8828)  1 Si 2.53, 4 Pt 2.72-2.75, 1 In 2.75
Pt (0.2888, 0.7437, 0.1939)  1 Si 2.40
Pt (0.7112, 0.2563, 0.8061)  1 Si 2.40
Pt (0.7537, 0.3767, 0.1172)  1 Si 2.53, 4 Pt 2.72-2.75, 1 In 2.75
Pt (0.7743, 0.7436, 0.1950)  1 Si 2.40

# BaInSn6Pt2

A relaxed structure of BaInSn6Pt2 (PBE, Alexandria).

As for the calculated formation energy: -0.15 kcal/mol of atoms.

Cell lengths 9.6481, 9.6481, 9.6481 Å; angles 39.65, 39.65, 39.65 degrees
Last column: nearest neighbours and their distance in Å.
Sites, in units of the cell vectors:
Ba (0.0000, 0.0000, 0.0000)  6 Sn 3.58
In (0.5000, 0.5000, 0.5000)  6 Sn 3.02
Sn (0.0499, 0.8682, 0.4258)  1 Pt 2.61
Sn (0.1318, 0.5742, 0.9501)  1 Pt 2.61
Sn (0.4258, 0.0499, 0.8682)  1 Pt 2.61
Sn (0.5742, 0.9501, 0.1318)  1 Pt 2.61
Sn (0.8682, 0.4258, 0.0499)  1 Pt 2.61
Sn (0.9501, 0.1318, 0.5742)  1 Pt 2.61
Pt (0.2771, 0.2771, 0.2771)  3 Sn 2.61
Pt (0.7229, 0.7229, 0.7229)  3 Sn 2.61

# Ba2In3SnPt4

A relaxed structure of Ba2In3SnPt4 (PBE, Alexandria).

As for the calculated formation energy: -16.27 kcal/mol of atoms.

Cell lengths 4.8638, 4.8638, 10.6043 Å; angles 90.00, 90.00, 90.00 degrees
Last column: nearest neighbours and their distance in Å.
Sites, in units of the cell vectors:
Ba (0.0000, 0.5000, 0.2374)  8 Pt 3.50-3.75, 7 In 3.65-3.80, 2 Sn 3.70
Ba (0.5000, 0.0000, 0.7626)  8 Pt 3.50-3.75, 7 In 3.65-3.80, 2 Sn 3.70
In (0.0000, 0.5000, 0.8792)  5 Pt 2.73-2.75
In (0.5000, 0.0000, 0.1208)  5 Pt 2.73-2.75
In (0.5000, 0.5000, 0.5000)  4 Pt 2.75
Sn (0.0000, 0.0000, 0.5000)  4 Pt 2.75
Pt (0.0000, 0.0000, 0.0000)  4 In 2.75
Pt (0.0000, 0.5000, 0.6217)  3 In 2.73-2.75, 2 Sn 2.75
Pt (0.5000, 0.0000, 0.3783)  3 In 2.73-2.75, 2 Sn 2.75
Pt (0.5000, 0.5000, 0.0000)  4 In 2.75

# BaInSnPt3

A relaxed structure of BaInSnPt3 (PBE, Alexandria).

As for the calculated formation energy: -12.44 kcal/mol of atoms.

Cell lengths 9.1355, 9.1355, 6.0422 Å; angles 90.00, 90.00, 141.37 degrees
Last column: nearest neighbours and their distance in Å.
Sites, in units of the cell vectors:
Ba (0.2246, 0.7754, 0.7500)  4 Pt 3.04-3.08
Ba (0.7754, 0.2246, 0.2500)  4 Pt 3.04-3.08
In (0.1037, 0.8963, 0.2500)  5 Pt 2.66-2.75
In (0.8963, 0.1037, 0.7500)  5 Pt 2.66-2.75
Sn (0.4106, 0.5894, 0.2500)  5 Pt 2.63-2.68
Sn (0.5894, 0.4106, 0.7500)  5 Pt 2.63-2.68
Pt (0.2376, 0.2376, 0.0000)  2 Sn 2.68, 2 In 2.75, 1 Pt 2.87
Pt (0.2376, 0.2376, 0.5000)  2 Sn 2.68, 2 In 2.75, 1 Pt 2.87
Pt (0.2580, 0.7420, 0.2500)  1 Sn 2.63, 1 In 2.66
Pt (0.7420, 0.2580, 0.7500)  1 Sn 2.63, 1 In 2.66
Pt (0.7624, 0.7624, 0.0000)  2 Sn 2.68, 2 In 2.75, 1 Pt 2.87
Pt (0.7624, 0.7624, 0.5000)  2 Sn 2.68, 2 In 2.75, 1 Pt 2.87

# Ba2InSn3Pt4

A relaxed structure of Ba2InSn3Pt4 (PBE, Alexandria).

As for the calculated formation energy: -17.70 kcal/mol of atoms.

Cell lengths 4.8132, 4.8132, 10.7388 Å; angles 90.00, 90.00, 90.00 degrees
Last column: nearest neighbours and their distance in Å.
Sites, in units of the cell vectors:
Ba (0.0000, 0.5000, 0.2450)  8 Pt 3.57-3.67, 2 In 3.65, 7 Sn 3.65-3.91
Ba (0.5000, 0.0000, 0.7550)  8 Pt 3.57-3.67, 2 In 3.65, 7 Sn 3.65-3.91
In (0.0000, 0.0000, 0.5000)  4 Pt 2.77
Sn (0.0000, 0.5000, 0.8807)  5 Pt 2.72-2.73
Sn (0.5000, 0.0000, 0.1193)  5 Pt 2.72-2.73
Sn (0.5000, 0.5000, 0.5000)  4 Pt 2.77
Pt (0.0000, 0.0000, 0.0000)  4 Sn 2.73
Pt (0.0000, 0.5000, 0.6278)  3 Sn 2.72-2.77, 2 In 2.77
Pt (0.5000, 0.0000, 0.3722)  3 Sn 2.72-2.77, 2 In 2.77
Pt (0.5000, 0.5000, 0.0000)  4 Sn 2.73

# Ba2Sr6InPt

A relaxed structure of Ba2Sr6InPt (PBE, Alexandria).

As for the calculated formation energy: -5.72 kcal/mol of atoms.

Cell lengths 8.9493, 8.9493, 8.9493 Å; angles 60.00, 60.00, 60.00 degrees
Last column: nearest neighbours and their distance in Å.
Sites, in units of the cell vectors:
Ba (0.2500, 0.2500, 0.2500)  12 Sr 4.48
Ba (0.7500, 0.7500, 0.7500)  12 Sr 4.48
Sr (0.2370, 0.2370, 0.7630)  1 Pt 3.00, 1 In 3.33
Sr (0.2370, 0.7630, 0.2370)  1 Pt 3.00, 1 In 3.33
Sr (0.2370, 0.7630, 0.7630)  1 Pt 3.00, 1 In 3.33
Sr (0.7630, 0.2370, 0.2370)  1 Pt 3.00, 1 In 3.33
Sr (0.7630, 0.2370, 0.7630)  1 Pt 3.00, 1 In 3.33
Sr (0.7630, 0.7630, 0.2370)  1 Pt 3.00, 1 In 3.33
In (0.5000, 0.5000, 0.5000)  6 Sr 3.33
Pt (0.0000, 0.0000, 0.0000)  6 Sr 3.00

# BaSr2InPt

A relaxed structure of BaSr2InPt (PBE, Alexandria).

The distance to the lowest polymorph of the same formula is 8 kJ/mol of formula units. As for the calculated formation energy: -9.82 kcal/mol of atoms.

Cell lengths 5.9419, 5.9419, 5.3910 Å; angles 90.00, 90.00, 90.00 degrees
Last column: nearest neighbours and their distance in Å.
Sites, in units of the cell vectors:
Ba (0.0000, 0.0000, 0.0000)  8 Sr 4.01, 4 In 4.20
Sr (0.0000, 0.5000, 0.5000)  2 Pt 2.97
Sr (0.5000, 0.0000, 0.5000)  2 Pt 2.97
In (0.5000, 0.5000, 0.0000)  2 Pt 2.70
Pt (0.5000, 0.5000, 0.5000)  2 In 2.70, 4 Sr 2.97

# BaSr2InPt

A relaxed structure of BaSr2InPt (PBE, Alexandria).

The distance to the lowest polymorph of the same formula is 0 kJ/mol of formula units. As for the calculated formation energy: -10.21 kcal/mol of atoms.

Cell lengths 5.8857, 5.8857, 6.0832 Å; angles 90.00, 90.00, 90.00 degrees
Last column: nearest neighbours and their distance in Å.
Sites, in units of the cell vectors:
Ba (0.0000, 0.0000, 0.0000)  2 Pt 3.04
Sr (0.0000, 0.5000, 0.5000)  2 Pt 2.94
Sr (0.5000, 0.0000, 0.5000)  2 Pt 2.94
In (0.5000, 0.5000, 0.0000)  4 Ba 4.16, 8 Sr 4.23
Pt (0.0000, 0.0000, 0.5000)  4 Sr 2.94, 2 Ba 3.04

M_tot for every record listed, in sequence, given in μB/f.u.: 0.0, 0.0, 0.0, 0.0, 0.0, 0.0, 0.0, 0.0, 0.0, 0.0.
DFT total energy for every record listed, in sequence, given in eV/cell: -52.75, -60.25, -55.18, -40.82, -47.28, -60.05, -50.43, -25.20, -16.19, -16.28.